The following is a PBE-GGA calculation of crystalline Cs6KNa8 at its relaxed geometry, from Alexandria.

Calculated values
For the formation energy, the calculation gives 49 meV/atom.

Geometry as POSCAR:
```
Cs6KNa8
1.0
10.0475 0.1205 3.6430
2.5938 9.7077 3.6430
0.1550 0.1205 10.6864
Cs K Na
6 1 8
direct
0.8424 0.3508 0.5962
0.6492 0.4038 0.1576
0.4038 0.1576 0.6492
0.1576 0.6492 0.4038
0.5962 0.8424 0.3508
0.3508 0.5962 0.8424
0.0000 0.0000 0.0000
0.8133 0.8133 0.8133
0.8637 0.0370 0.4223
0.4223 0.8637 0.0370
0.5777 0.1363 0.9630
0.1363 0.9630 0.5777
0.1867 0.1867 0.1867
0.9630 0.5777 0.1363
0.0370 0.4223 0.8637
```